(1)
# PBE-GGA Tl3Cd2Pb4, relaxed
# Volume in A^3/atom: 30.98
# DFT formation energy in eV/atom: 0.07
# Spin magnetization in μB/f.u.: 0.000
# Symmetry: No. 15
# Calculated total energy in eV for the cell shown: -46.33
data_Tl3Cd2Pb4
_chemical_formula_sum 'Tl6 Cd4 Pb8'
_symmetry_space_group_name_H-M 'P 1'
_symmetry_Int_Tables_number 1
_cell_length_a 7.4021
_cell_length_b 9.0117
_cell_length_c 9.0117
_cell_angle_alpha 68.27
_cell_angle_beta 87.37
_cell_angle_gamma 87.37
loop_
_symmetry_equiv_pos_as_xyz
'x,y,z'
loop_
_atom_site_label
_atom_site_type_symbol
_atom_site_fract_x
_atom_site_fract_y
_atom_site_fract_z
Cd1 Cd 0.8521 0.4216 0.1163
Cd2 Cd 0.1479 0.5784 0.8837
Cd3 Cd 0.3521 0.1163 0.4216
Cd4 Cd 0.6479 0.8837 0.5784
Tl1 Tl 0.8088 0.0361 0.1896
Tl2 Tl 0.6912 0.8104 0.9639
Tl3 Tl 0.3088 0.1896 0.0361
Tl4 Tl 0.2500 0.4516 0.5484
Tl5 Tl 0.7500 0.5484 0.4516
Tl6 Tl 0.1912 0.9639 0.8104
Pb1 Pb 0.9288 0.2949 0.8235
Pb2 Pb 0.9393 0.1930 0.4660
Pb3 Pb 0.5712 0.1765 0.7051
Pb4 Pb 0.0607 0.8070 0.5340
Pb5 Pb 0.4288 0.8235 0.2949
Pb6 Pb 0.0712 0.7051 0.1765
Pb7 Pb 0.4393 0.4660 0.1930
Pb8 Pb 0.5607 0.5340 0.8070

***

(2)
# PBE-GGA Tl5CdPb, relaxed
# Volume in A^3/atom: 31.32
# DFT formation energy in eV/atom: 0.06
# Offset from the most stable computed form in eV/atom: 0.000
# Spin magnetization in μB/f.u.: 0.000
# Symmetry: No. 15
# Calculated total energy in eV for the cell shown: -32.09
data_Tl5CdPb
_chemical_formula_sum 'Tl10 Cd2 Pb2'
_symmetry_space_group_name_H-M 'P 1'
_symmetry_Int_Tables_number 1
_cell_length_a 5.8627
_cell_length_b 7.0110
_cell_length_c 11.0758
_cell_angle_alpha 90.72
_cell_angle_beta 74.65
_cell_angle_gamma 92.72
loop_
_symmetry_equiv_pos_as_xyz
'x,y,z'
loop_
_atom_site_label
_atom_site_type_symbol
_atom_site_fract_x
_atom_site_fract_y
_atom_site_fract_z
Tl1 Tl 0.2322 0.3886 0.0685
Tl2 Tl 0.3604 0.7500 0.2792
Tl3 Tl 0.2080 0.9853 0.5957
Tl4 Tl 0.3007 0.8886 0.9315
Tl5 Tl 0.8037 0.4853 0.4043
Tl6 Tl 0.7678 0.6114 0.9315
Tl7 Tl 0.1963 0.5147 0.5957
Tl8 Tl 0.6993 0.1114 0.0685
Tl9 Tl 0.7920 0.0147 0.4043
Tl10 Tl 0.6396 0.2500 0.7208
Cd1 Cd 0.9169 0.7500 0.1662
Cd2 Cd 0.0831 0.2500 0.8338
Pb1 Pb 0.3325 0.2500 0.3351
Pb2 Pb 0.6675 0.7500 0.6649

***

(3)
# PBE-GGA Tl15Cd4Pb, relaxed
# Volume in A^3/atom: 29.31
# DFT formation energy in eV/atom: 0.04
# Spin magnetization in μB/f.u.: 0.000
# Symmetry: No. 123
# Calculated total energy in eV for the cell shown: -42.00
data_Tl15Cd4Pb
_chemical_formula_sum 'Tl15 Cd4 Pb1'
_symmetry_space_group_name_H-M 'P 1'
_symmetry_Int_Tables_number 1
_cell_length_a 4.9211
_cell_length_b 4.9211
_cell_length_c 24.2046
_cell_angle_alpha 90.00
_cell_angle_beta 90.00
_cell_angle_gamma 90.00
loop_
_symmetry_equiv_pos_as_xyz
'x,y,z'
loop_
_atom_site_label
_atom_site_type_symbol
_atom_site_fract_x
_atom_site_fract_y
_atom_site_fract_z
Pb1 Pb 0.0000 0.0000 0.0000
Tl1 Tl 0.5000 0.0000 0.8972
Tl2 Tl 0.0000 0.5000 0.5000
Tl3 Tl 0.5000 0.0000 0.5000
Tl4 Tl 0.0000 0.5000 0.6991
Tl5 Tl 0.5000 0.0000 0.3009
Tl6 Tl 0.5000 0.5000 0.4002
Tl7 Tl 0.5000 0.5000 0.2028
Tl8 Tl 0.0000 0.5000 0.1028
Tl9 Tl 0.5000 0.5000 0.0000
Tl10 Tl 0.5000 0.0000 0.1028
Tl11 Tl 0.5000 0.5000 0.7972
Tl12 Tl 0.0000 0.5000 0.3009
Tl13 Tl 0.5000 0.5000 0.5998
Tl14 Tl 0.5000 0.0000 0.6991
Tl15 Tl 0.0000 0.5000 0.8972
Cd1 Cd 0.0000 0.0000 0.3998
Cd2 Cd 0.0000 0.0000 0.7967
Cd3 Cd 0.0000 0.0000 0.2033
Cd4 Cd 0.0000 0.0000 0.6002

***

(4)
# PBE-GGA TlCd2Pb, relaxed
# Volume in A^3/atom: 27.41
# DFT formation energy in eV/atom: 0.06
# Spin magnetization in μB/f.u.: 0.000
# Symmetry: No. 12
# Calculated total energy in eV for the cell shown: -7.66
data_TlCd2Pb
_chemical_formula_sum 'Tl1 Cd2 Pb1'
_symmetry_space_group_name_H-M 'P 1'
_symmetry_Int_Tables_number 1
_cell_length_a 7.8946
_cell_length_b 5.8794
_cell_length_c 3.2889
_cell_angle_alpha 90.45
_cell_angle_beta 64.65
_cell_angle_gamma 123.48
loop_
_symmetry_equiv_pos_as_xyz
'x,y,z'
loop_
_atom_site_label
_atom_site_type_symbol
_atom_site_fract_x
_atom_site_fract_y
_atom_site_fract_z
Cd1 Cd 0.0000 0.0000 0.0000
Cd2 Cd 0.5000 0.0000 0.5000
Pb1 Pb 0.0000 0.5000 0.5000
Tl1 Tl 0.5000 0.5000 0.0000

***

(5)
# PBE-GGA Tl2Cd3Pb5, relaxed
# Volume in A^3/atom: 29.46
# DFT formation energy in eV/atom: 0.05
# Spin magnetization in μB/f.u.: 0.000
# Symmetry: No. 15
# Calculated total energy in eV for the cell shown: -51.12
data_Tl2Cd3Pb5
_chemical_formula_sum 'Tl4 Cd6 Pb10'
_symmetry_space_group_name_H-M 'P 1'
_symmetry_Int_Tables_number 1
_cell_length_a 6.5421
_cell_length_b 9.6856
_cell_length_c 9.6856
_cell_angle_alpha 106.22
_cell_angle_beta 90.06
_cell_angle_gamma 90.06
loop_
_symmetry_equiv_pos_as_xyz
'x,y,z'
loop_
_atom_site_label
_atom_site_type_symbol
_atom_site_fract_x
_atom_site_fract_y
_atom_site_fract_z
Tl1 Tl 0.8787 0.6253 0.1286
Tl2 Tl 0.6213 0.8714 0.3747
Tl3 Tl 0.1213 0.3747 0.8714
Tl4 Tl 0.3787 0.1286 0.6253
Pb1 Pb 0.1125 0.9736 0.2725
Pb2 Pb 0.5156 0.2016 0.2902
Pb3 Pb 0.0156 0.2902 0.2016
Pb4 Pb 0.9844 0.7098 0.7984
Pb5 Pb 0.3875 0.7276 0.0265
Pb6 Pb 0.2500 0.4614 0.5386
Pb7 Pb 0.4844 0.7984 0.7098
Pb8 Pb 0.6125 0.2724 0.9735
Pb9 Pb 0.8875 0.0264 0.7275
Pb10 Pb 0.7500 0.5386 0.4614
Cd1 Cd 0.2500 0.0418 0.9582
Cd2 Cd 0.6268 0.4686 0.7667
Cd3 Cd 0.1268 0.7667 0.4686
Cd4 Cd 0.3732 0.5314 0.2333
Cd5 Cd 0.8732 0.2333 0.5314
Cd6 Cd 0.7500 0.9582 0.0418

***

(6)
# PBE-GGA Tl2CdPb, relaxed
# Volume in A^3/atom: 29.62
# DFT formation energy in eV/atom: 0.03
# Spin magnetization in μB/f.u.: 0.000
# Symmetry: No. 6
# Calculated total energy in eV for the cell shown: -9.25
data_Tl2CdPb
_chemical_formula_sum 'Tl2 Cd1 Pb1'
_symmetry_space_group_name_H-M 'P 1'
_symmetry_Int_Tables_number 1
_cell_length_a 5.4471
_cell_length_b 3.3472
_cell_length_c 6.6782
_cell_angle_alpha 76.67
_cell_angle_beta 90.00
_cell_angle_gamma 90.00
loop_
_symmetry_equiv_pos_as_xyz
'x,y,z'
loop_
_atom_site_label
_atom_site_type_symbol
_atom_site_fract_x
_atom_site_fract_y
_atom_site_fract_z
Tl1 Tl 0.0000 0.9657 0.9807
Tl2 Tl 0.5000 0.2826 0.2793
Pb1 Pb 0.5000 0.5801 0.7562
Cd1 Cd 0.0000 0.6715 0.4837

***

(7)
# PBE-GGA TlCd4Pb5, relaxed
# Volume in A^3/atom: 28.25
# DFT formation energy in eV/atom: 0.04
# Spin magnetization in μB/f.u.: 0.000
# Symmetry: No. 123
# Calculated total energy in eV for the cell shown: -24.17
data_TlCd4Pb5
_chemical_formula_sum 'Tl1 Cd4 Pb5'
_symmetry_space_group_name_H-M 'P 1'
_symmetry_Int_Tables_number 1
_cell_length_a 3.5777
_cell_length_b 3.5777
_cell_length_c 22.0723
_cell_angle_alpha 90.00
_cell_angle_beta 90.00
_cell_angle_gamma 90.00
loop_
_symmetry_equiv_pos_as_xyz
'x,y,z'
loop_
_atom_site_label
_atom_site_type_symbol
_atom_site_fract_x
_atom_site_fract_y
_atom_site_fract_z
Pb1 Pb 0.5000 0.5000 0.6963
Pb2 Pb 0.5000 0.5000 0.8877
Pb3 Pb 0.5000 0.5000 0.1123
Pb4 Pb 0.5000 0.5000 0.3037
Pb5 Pb 0.5000 0.5000 0.5000
Cd1 Cd 0.0000 0.0000 0.5979
Cd2 Cd 0.0000 0.0000 0.2070
Cd3 Cd 0.0000 0.0000 0.4021
Cd4 Cd 0.0000 0.0000 0.7930
Tl1 Tl 0.0000 0.0000 0.0000

***

(8)
# PBE-GGA Tl2Cd2Pb, relaxed
# Volume in A^3/atom: 28.77
# DFT formation energy in eV/atom: 0.11
# Offset from the most stable computed form in eV/atom: 0.053
# Spin magnetization in μB/f.u.: 0.000
# Symmetry: No. 127
# Calculated total energy in eV for the cell shown: -19.40
data_Tl2Cd2Pb
_chemical_formula_sum 'Tl4 Cd4 Pb2'
_symmetry_space_group_name_H-M 'P 1'
_symmetry_Int_Tables_number 1
_cell_length_a 9.1737
_cell_length_b 9.1737
_cell_length_c 3.4190
_cell_angle_alpha 90.00
_cell_angle_beta 90.00
_cell_angle_gamma 90.00
loop_
_symmetry_equiv_pos_as_xyz
'x,y,z'
loop_
_atom_site_label
_atom_site_type_symbol
_atom_site_fract_x
_atom_site_fract_y
_atom_site_fract_z
Cd1 Cd 0.8412 0.3412 0.5000
Cd2 Cd 0.1588 0.6588 0.5000
Cd3 Cd 0.3412 0.1588 0.5000
Cd4 Cd 0.6588 0.8412 0.5000
Pb1 Pb 0.0000 0.0000 0.0000
Pb2 Pb 0.5000 0.5000 0.0000
Tl1 Tl 0.3597 0.8597 0.0000
Tl2 Tl 0.8597 0.6403 0.0000
Tl3 Tl 0.1403 0.3597 0.0000
Tl4 Tl 0.6403 0.1403 0.0000

***

(9)
# PBE-GGA Tl8Cd2Pb, relaxed
# Volume in A^3/atom: 33.41
# DFT formation energy in eV/atom: 0.12
# Offset from the most stable computed form in eV/atom: 0.064
# Spin magnetization in μB/f.u.: 0.000
# Symmetry: No. 12
# Calculated total energy in eV for the cell shown: -23.20
data_Tl8Cd2Pb
_chemical_formula_sum 'Tl8 Cd2 Pb1'
_symmetry_space_group_name_H-M 'P 1'
_symmetry_Int_Tables_number 1
_cell_length_a 5.3894
_cell_length_b 8.6103
_cell_length_c 8.6103
_cell_angle_alpha 70.35
_cell_angle_beta 79.87
_cell_angle_gamma 79.87
loop_
_symmetry_equiv_pos_as_xyz
'x,y,z'
loop_
_atom_site_label
_atom_site_type_symbol
_atom_site_fract_x
_atom_site_fract_y
_atom_site_fract_z
Tl1 Tl 0.3040 0.3939 0.3939
Tl2 Tl 0.7903 0.6398 0.1975
Tl3 Tl 0.2097 0.3602 0.8025
Tl4 Tl 0.7903 0.1975 0.6398
Tl5 Tl 0.1128 0.7556 0.7556
Tl6 Tl 0.2097 0.8025 0.3602
Tl7 Tl 0.6960 0.6061 0.6061
Tl8 Tl 0.8872 0.2444 0.2444
Cd1 Cd 0.5472 0.8661 0.8661
Cd2 Cd 0.4528 0.1339 0.1339
Pb1 Pb 0.0000 0.0000 0.0000

***

(10)
# PBE-GGA Tl15CdPb4, relaxed
# Volume in A^3/atom: 30.39
# DFT formation energy in eV/atom: 0.02
# Spin magnetization in μB/f.u.: 0.000
# Symmetry: No. 123
# Calculated total energy in eV for the cell shown: -50.90
data_Tl15CdPb4
_chemical_formula_sum 'Tl15 Cd1 Pb4'
_symmetry_space_group_name_H-M 'P 1'
_symmetry_Int_Tables_number 1
_cell_length_a 5.3799
_cell_length_b 5.3799
_cell_length_c 21.0011
_cell_angle_alpha 90.00
_cell_angle_beta 90.00
_cell_angle_gamma 90.00
loop_
_symmetry_equiv_pos_as_xyz
'x,y,z'
loop_
_atom_site_label
_atom_site_type_symbol
_atom_site_fract_x
_atom_site_fract_y
_atom_site_fract_z
Tl1 Tl 0.5000 0.0000 0.7036
Tl2 Tl 0.0000 0.5000 0.7036
Tl3 Tl 0.5000 0.5000 0.6012
Tl4 Tl 0.5000 0.5000 0.0000
Tl5 Tl 0.5000 0.5000 0.3988
Tl6 Tl 0.5000 0.5000 0.8048
Tl7 Tl 0.5000 0.0000 0.5000
Tl8 Tl 0.5000 0.0000 0.9051
Tl9 Tl 0.5000 0.0000 0.0949
Tl10 Tl 0.5000 0.0000 0.2964
Tl11 Tl 0.5000 0.5000 0.1952
Tl12 Tl 0.0000 0.5000 0.0949
Tl13 Tl 0.0000 0.5000 0.9051
Tl14 Tl 0.0000 0.5000 0.2964
Tl15 Tl 0.0000 0.5000 0.5000
Pb1 Pb 0.0000 0.0000 0.3985
Pb2 Pb 0.0000 0.0000 0.8038
Pb3 Pb 0.0000 0.0000 0.6015
Pb4 Pb 0.0000 0.0000 0.1962
Cd1 Cd 0.0000 0.0000 0.0000